First-principles (PBE-GGA) data for an optimized crystal structure of Ac6Pb5I, as listed in Alexandria.

SG = No. 12
spin magnetization = 0.000 μB/cell
uncorrected formation energy = -0.587 eV/atom

Unit cell a=8.4816 b=8.4816 c=8.3630 alpha=99.77 beta=99.77 gamma=120.52
Atoms (fractional coordinates):
Ac 0.0739 0.4128 0.2410
Ac 0.2442 0.2442 0.7505
Ac 0.4128 0.0739 0.2410
Ac 0.5872 0.9261 0.7590
Ac 0.7558 0.7558 0.2495
Ac 0.9261 0.5872 0.7590
Pb 0.0000 0.0000 0.0000
Pb 0.1682 0.8318 0.5000
Pb 0.3398 0.6602 0.0000
Pb 0.6602 0.3398 0.0000
Pb 0.8318 0.1682 0.5000
I 0.5000 0.5000 0.5000